1.
VASP calculation (PBE-GGA) on crystalline LiTb2PaSe5 at its relaxed geometry.

Computed properties:
Energy relative to the elements, uncorrected   -34.88 kcal/mol of atoms
V   23.9 Å³ per atom
Spin magnetization   0.140 μB/atom
SG   No. 36

Geometry as POSCAR:
```
LiTb2PaSe5
1.0
2.0137 -8.5210 0.0000
2.0137 8.5210 0.0000
0.0000 0.0000 12.5308
Li Tb Pa Se
2 4 2 10
Direct
0.0204 0.9796 0.5000
0.9796 0.0204 0.0000
0.3716 0.6284 0.3228
0.3925 0.6075 0.7185
0.6075 0.3925 0.2185
0.6284 0.3716 0.8228
0.2992 0.7008 0.0351
0.7008 0.2992 0.5351
0.0032 0.9968 0.8094
0.1325 0.8675 0.0325
0.1873 0.8127 0.3718
0.2147 0.7853 0.6989
0.4522 0.5478 0.1016
0.5478 0.4522 0.6016
0.7853 0.2147 0.1989
0.8127 0.1873 0.8718
0.8675 0.1325 0.5325
0.9968 0.0032 0.3094
```

***

2.
VASP calculation (PBE-GGA) on crystalline LiTbPa2Se4 at its relaxed geometry.

Computed properties:
Energy relative to the elements, uncorrected   -32.01 kcal/mol of atoms
V   23.3 Å³ per atom
Spin magnetization   0.298 μB/atom
SG   No. 10

Geometry as POSCAR:
```
LiTbPa2Se4
1.0
6.7244 0.0000 0.0000
0.0000 3.8988 0.0000
-2.2428 0.0000 7.1210
Li Tb Pa Se
1 1 2 4
Direct
0.0000 0.0000 0.0000
0.5000 0.5000 0.0000
0.0000 0.5000 0.5000
0.5000 0.0000 0.5000
0.2363 0.5000 0.2339
0.2433 0.0000 0.7627
0.7567 0.0000 0.2373
0.7637 0.5000 0.7661
```

***

3.
VASP calculation (PBE-GGA) on crystalline LiTb2PaSe6 at its relaxed geometry.

Computed properties:
Energy relative to the elements, uncorrected   -27.90 kcal/mol of atoms
V   30.1 Å³ per atom
Spin magnetization   0.000 μB/atom
SG   No. 99

Geometry as POSCAR:
```
LiTb2PaSe6
1.0
6.7390 0.0000 0.0000
0.0000 6.7390 0.0000
0.0000 0.0000 6.6377
Li Tb Pa Se
1 2 1 6
Direct
0.0000 0.0000 0.0000
0.0000 0.5000 0.4480
0.5000 0.0000 0.4480
0.5000 0.5000 0.0566
0.0000 0.0000 0.6315
0.2388 0.2388 0.2067
0.2388 0.7612 0.2067
0.5000 0.5000 0.6381
0.7612 0.2388 0.2067
0.7612 0.7612 0.2067
```

***

4.
VASP calculation (PBE-GGA) on crystalline Li3TbPa3Se8 at its relaxed geometry.

Computed properties:
Energy relative to the elements, uncorrected   -31.88 kcal/mol of atoms
V   25.0 Å³ per atom
Spin magnetization   0.329 μB/atom
SG   No. 166

Geometry as POSCAR:
```
Li3TbPa3Se8
1.0
4.0507 2.3387 6.5979
-4.0507 2.3387 6.5979
0.0000 -4.6774 6.5979
Li Tb Pa Se
3 1 3 8
Direct
0.0000 0.5000 0.5000
0.5000 0.0000 0.5000
0.5000 0.5000 0.0000
0.5000 0.5000 0.5000
0.0000 0.0000 0.5000
0.0000 0.5000 0.0000
0.5000 0.0000 0.0000
0.2483 0.2483 0.7485
0.2483 0.7485 0.2483
0.2515 0.7517 0.7517
0.2546 0.2546 0.2546
0.7454 0.7454 0.7454
0.7485 0.2483 0.2483
0.7517 0.2515 0.7517
0.7517 0.7517 0.2515
```

***

5.
VASP calculation (PBE-GGA) on crystalline Li2ThPaSe4 at its relaxed geometry.

Computed properties:
Energy relative to the elements, uncorrected   -31.55 kcal/mol of atoms
V   23.6 Å³ per atom
Spin magnetization   0.217 μB/atom
SG   No. 10

Geometry as POSCAR:
```
Li2ThPaSe4
1.0
6.9762 0.0000 0.0000
0.0000 4.0044 0.0000
-2.3105 0.0000 6.7642
Li Th Pa Se
2 1 1 4
Direct
0.0000 0.0000 0.0000
0.5000 0.5000 0.0000
0.0000 0.5000 0.5000
0.5000 0.0000 0.5000
0.2500 0.5000 0.2340
0.2627 0.0000 0.7691
0.7373 0.0000 0.2309
0.7500 0.5000 0.7660
```

***

6.
VASP calculation (PBE-GGA) on crystalline Li3Pa2TiSe6 at its relaxed geometry.

Computed properties:
Energy relative to the elements, uncorrected   -29.00 kcal/mol of atoms
V   22.0 Å³ per atom
Spin magnetization   0.396 μB/atom
SG   No. 12

Geometry as POSCAR:
```
Li3Pa2TiSe6
1.0
8.6886 -1.9619 0.0000
8.6886 1.9619 0.0000
-2.2536 0.0000 7.7356
Li Pa Ti Se
3 2 1 6
Direct
0.0000 0.0000 0.0000
0.3339 0.3339 0.6706
0.6661 0.6661 0.3294
0.3368 0.3368 0.1770
0.6632 0.6632 0.8230
0.0000 0.0000 0.5000
0.1621 0.1621 0.0890
0.1623 0.1623 0.5644
0.4949 0.4949 0.7310
0.5051 0.5051 0.2690
0.8377 0.8377 0.4356
0.8379 0.8379 0.9110
```

***

7.
VASP calculation (PBE-GGA) on crystalline LiPaTiSe4 at its relaxed geometry.

Computed properties:
Energy relative to the elements, uncorrected   -29.14 kcal/mol of atoms
V   25.1 Å³ per atom
Spin magnetization   0.289 μB/atom
SG   No. 74

Geometry as POSCAR:
```
LiPaTiSe4
1.0
-3.8245 4.2226 5.4324
3.8245 -4.2226 5.4324
3.8245 4.2226 -5.4324
Li Pa Ti Se
2 2 2 8
Direct
0.4004 0.1504 0.2500
0.5996 0.8496 0.7500
0.0000 0.5000 0.5000
0.5000 0.5000 0.0000
0.0000 0.0000 0.5000
0.0000 0.5000 0.0000
0.2114 0.2428 0.9685
0.2257 0.7572 0.4685
0.2455 0.2480 0.5025
0.2455 0.7430 0.9975
0.7545 0.2570 0.0025
0.7545 0.7520 0.4975
0.7743 0.2428 0.5315
0.7886 0.7572 0.0315
```

***

8.
VASP calculation (PBE-GGA) on crystalline LiPa2Tl2Se6 at its relaxed geometry.

Computed properties:
Energy relative to the elements, uncorrected   -25.90 kcal/mol of atoms
V   31.7 Å³ per atom
Spin magnetization   0.097 μB/atom
SG   No. 12

Geometry as POSCAR:
```
LiPa2Tl2Se6
1.0
3.5748 -6.2684 0.0000
3.5748 6.2684 0.0000
-2.2483 0.0000 7.7890
Li Pa Tl Se
1 2 2 6
Direct
0.0000 0.0000 0.0000
0.3347 0.6653 0.0000
0.6653 0.3347 0.0000
0.1603 0.8397 0.5000
0.8397 0.1603 0.5000
0.0613 0.4154 0.2034
0.2767 0.2767 0.8060
0.4154 0.0613 0.2034
0.5846 0.9387 0.7966
0.7233 0.7233 0.1940
0.9387 0.5846 0.7966
```

***

9.
VASP calculation (PBE-GGA) on crystalline Li2PaTl3Se6 at its relaxed geometry.

Computed properties:
Energy relative to the elements, uncorrected   -18.64 kcal/mol of atoms
V   26.5 Å³ per atom
Spin magnetization   0.000 μB/atom
SG   No. 12

Geometry as POSCAR:
```
Li2PaTl3Se6
1.0
3.5909 -6.1981 0.0000
3.5909 6.1981 0.0000
-2.3985 0.0000 7.1346
Li Pa Tl Se
2 1 3 6
Direct
0.1671 0.8329 0.0000
0.8329 0.1671 0.0000
0.5000 0.5000 0.0000
0.0000 0.0000 0.5000
0.3372 0.6627 0.5000
0.6627 0.3372 0.5000
0.1033 0.4308 0.7863
0.2439 0.2439 0.2116
0.4308 0.1033 0.7863
0.5692 0.8967 0.2137
0.7561 0.7561 0.7884
0.8967 0.5692 0.2137
```

***

10.
VASP calculation (PBE-GGA) on crystalline LiPa2Tl3Se6 at its relaxed geometry.

Computed properties:
Energy relative to the elements, uncorrected   -23.03 kcal/mol of atoms
V   29.3 Å³ per atom
Spin magnetization   0.169 μB/atom
SG   No. 12

Geometry as POSCAR:
```
LiPa2Tl3Se6
1.0
9.8644 -2.0853 0.0000
9.8644 2.0853 0.0000
-3.3377 0.0000 8.5336
Li Pa Tl Se
1 2 3 6
Direct
0.0000 0.0000 0.0000
0.3380 0.3380 0.6793
0.6620 0.6620 0.3207
0.0000 0.0000 0.5000
0.3431 0.3431 0.1688
0.6569 0.6569 0.8312
0.1627 0.1627 0.1090
0.1781 0.1781 0.5517
0.4852 0.4852 0.7724
0.5148 0.5148 0.2276
0.8219 0.8219 0.4483
0.8373 0.8373 0.8910
```

***

11.
VASP calculation (PBE-GGA) on crystalline LiPa3Tl4Se8 at its relaxed geometry.

Computed properties:
Energy relative to the elements, uncorrected   -23.11 kcal/mol of atoms
V   29.5 Å³ per atom
Spin magnetization   0.252 μB/atom
SG   No. 166

Geometry as POSCAR:
```
LiPa3Tl4Se8
1.0
4.1631 2.4035 7.8531
-4.1631 2.4035 7.8531
0.0000 -4.8071 7.8531
Li Pa Tl Se
1 3 4 8
Direct
0.0000 0.0000 0.0000
0.0000 0.5000 0.5000
0.5000 0.0000 0.5000
0.5000 0.5000 0.0000
0.0000 0.0000 0.5000
0.0000 0.5000 0.0000
0.5000 0.0000 0.0000
0.5000 0.5000 0.5000
0.2362 0.2362 0.7292
0.2362 0.7292 0.2362
0.2643 0.2643 0.2643
0.2708 0.7638 0.7638
0.7292 0.2362 0.2362
0.7357 0.7357 0.7357
0.7638 0.2708 0.7638
0.7638 0.7638 0.2708
```

***

12.
VASP calculation (PBE-GGA) on crystalline LiPaTlSe3 at its relaxed geometry.

Computed properties:
Energy relative to the elements, uncorrected   -25.57 kcal/mol of atoms
V   29.1 Å³ per atom
Spin magnetization   0.167 μB/atom
SG   No. 11

Geometry as POSCAR:
```
LiPaTlSe3
1.0
9.1435 0.0000 0.0000
0.0000 4.2042 0.0000
-2.5252 0.0000 9.0722
Li Pa Tl Se
2 2 2 6
Direct
0.0764 0.2500 0.0954
0.9236 0.7500 0.9046
0.3260 0.7500 0.3446
0.6740 0.2500 0.6554
0.1992 0.2500 0.7504
0.8008 0.7500 0.2496
0.1256 0.2500 0.3761
0.2083 0.7500 0.0396
0.4577 0.7500 0.6617
0.5423 0.2500 0.3383
0.7917 0.2500 0.9604
0.8744 0.7500 0.6239
```